(1)
A relaxed GaB2H6 crystal. Source: Alexandria, functional PBE.

Cell and atoms, written as CIF:
```
data_GaB2H6
_cell_length_a 4.218
_cell_length_b 4.254
_cell_length_c 4.602
_cell_angle_alpha 99.12
_cell_angle_beta 98.66
_cell_angle_gamma 96.36
_space_group_name_H-M_alt 'P -1'
_space_group_IT_number 2
loop_
_space_group_symop_operation_xyz
'x,y,z'
'-x,-y,-z'
loop_
_atom_site_label
_atom_site_type_symbol
_atom_site_fract_x
_atom_site_fract_y
_atom_site_fract_z
Ga1 Ga 0.000 0.000 0.000
B1 B 0.355 0.355 0.342
H1 H 0.207 0.206 0.497
H2 H 0.214 0.544 0.214
H3 H 0.452 0.783 0.788
```

Properties
theoretical density	2.0	Mg/m³
energy	-3.947	eV per atom
distance to the lowest polymorph of the same formula	0	meV/atom

=====

(2)
A relaxed GaB2H6 crystal. Source: Alexandria, functional PBE.

Cell and atoms, written as CIF:
```
data_GaB2H6
_cell_length_a 2.698
_cell_length_b 3.904
_cell_length_c 7.627
_cell_angle_alpha 87.36
_cell_angle_beta 89.74
_cell_angle_gamma 70.95
_space_group_name_H-M_alt 'P -1'
_space_group_IT_number 2
loop_
_space_group_symop_operation_xyz
'x,y,z'
'-x,-y,-z'
loop_
_atom_site_label
_atom_site_type_symbol
_atom_site_fract_x
_atom_site_fract_y
_atom_site_fract_z
Ga1 Ga 0.000 0.000 0.000
B1 B 0.023 0.954 0.391
H1 H 0.093 0.801 0.722
H2 H 0.174 0.646 0.333
H3 H 0.408 0.189 0.626
```

Properties
theoretical density	2.1	Mg/m³
energy	-3.787	eV per atom
distance to the lowest polymorph of the same formula	160	meV/atom

=====

(3)
A relaxed GaB3H crystal. Source: Alexandria, functional PBE.

Cell and atoms, written as CIF:
```
data_GaB3H
_cell_length_a 4.143
_cell_length_b 4.143
_cell_length_c 4.143
_cell_angle_alpha 90.00
_cell_angle_beta 90.00
_cell_angle_gamma 90.00
_space_group_name_H-M_alt 'P m -3 m'
_space_group_IT_number 221
_space_group_name_Hall '-P 4 2 3'
loop_
_atom_site_label
_atom_site_type_symbol
_atom_site_fract_x
_atom_site_fract_y
_atom_site_fract_z
Ga1 Ga 0.000 0.000 0.000
B1 B 0.000 0.000 0.500
H1 H 0.500 0.500 0.500
```

Properties
theoretical density	2.4	Mg/m³
energy	-2.919	eV per atom
distance to the lowest polymorph of the same formula	742	meV/atom

=====

(4)
A relaxed GaBH6 crystal. Source: Alexandria, functional PBE.

Cell and atoms, written as CIF:
```
data_GaBH6
_cell_length_a 13.711
_cell_length_b 9.092
_cell_length_c 10.135
_cell_angle_alpha 90.00
_cell_angle_beta 126.51
_cell_angle_gamma 90.00
_space_group_name_H-M_alt 'C 1 2/c 1'
_space_group_IT_number 15
loop_
_space_group_symop_operation_xyz
'x,y,z'
'-x,-y,-z'
'-x,y,-z+1/2'
'x,-y,z+1/2'
'x+1/2,y+1/2,z'
'-x+1/2,-y+1/2,-z'
'-x+1/2,y+1/2,-z+1/2'
'x+1/2,-y+1/2,z+1/2'
loop_
_atom_site_label
_atom_site_type_symbol
_atom_site_fract_x
_atom_site_fract_y
_atom_site_fract_z
Ga1 Ga 0.000 0.182 0.250
Ga2 Ga 0.190 0.390 0.786
B1 B 0.000 0.339 0.750
B2 B 0.152 0.064 0.512
H1 H 0.012 0.263 0.662
H2 H 0.075 0.009 0.374
H3 H 0.083 0.240 0.206
H4 H 0.084 0.425 0.846
H5 H 0.129 0.011 0.601
H6 H 0.138 0.481 0.630
H7 H 0.158 0.197 0.522
H8 H 0.242 0.254 0.130
H9 H 0.249 0.025 0.536
```

Properties
theoretical density	1.7	Mg/m³
energy	-3.714	eV per atom

=====

> What is the formula in the second record?

GaB2H6